A relaxed CaTi2N crystal, computed with PBE.

Values from the calculation:
- Density: 2.79 g cm⁻³
- Calculated volume: 178.2 Å³/cell
- Symmetry: Fd-3m, No. 227
- Raw formation energy: -0.42 eV/atom

Unit cell a=6.3164 b=6.3164 c=6.3164 alpha=60.00 beta=60.00 gamma=60.00
Last column: nearest neighbours and their distance in Å.
Atoms (fractional coordinates):
Ca: 0.1250 0.1250 0.1250  12 Ti 3.70, 4 Ca 3.87, 4 N 3.87
Ca: 0.8750 0.8750 0.8750  12 Ti 3.70, 4 N 3.87, 4 Ca 3.87
Ti: 0.0000 0.5000 0.5000  2 N 1.93
Ti: 0.5000 0.0000 0.5000  2 N 1.93
Ti: 0.5000 0.5000 0.0000  2 N 1.93
Ti: 0.5000 0.5000 0.5000  2 N 1.93
N: 0.3750 0.3750 0.3750  4 Ti 1.93
N: 0.6250 0.6250 0.6250  4 Ti 1.93